NiRh3Pb: relaxed, PBE.

Results
For the energy, the calculation gives -5.537 eV/atom. The calculation puts the energy of formation at 772 meV/atom.

a b c (Å): 4.5375 4.5375 4.5375
angles (deg): 90.00 90.00 90.00
Each line ends with the local moment (μB).
Fractional coordinates of all 5 atoms:
Pb 0.5000 0.5000 0.5000  -0.03
Ni 0.0000 0.0000 0.0000  0.82
Rh 0.0000 0.5000 0.0000  0.28
Rh 0.0000 0.0000 0.5000  0.68
Rh 0.5000 0.0000 0.0000  0.18